(1)
Here is an optimized crystal structure of Zn2IrCl from Alexandria. Energies are from PBE.

Unit cell a=7.050 b=7.050 c=7.050 alpha=131.01 beta=131.01 gamma=71.79
Atoms (fractional coordinates):
Zn  0.100  0.625  0.975
Zn  0.375  0.350  0.475
Zn  0.650  0.125  0.025
Zn  0.875  0.900  0.525
Ir  0.000  0.000  0.000
Ir  0.750  0.250  0.500
Cl  0.250  0.750  0.500
Cl  0.500  0.500  0.000

Computed properties:
Offset from the most stable computed form   12.979 kcal/mol of atoms
Symmetry   No. 122
Electronic total energy   -3.016 eV/atom
Formation energy (no corrections)   0.30 eV per atom

---

(2)
Here is an optimized crystal structure of LiPSCl2 from Alexandria. Energies are from PBE.

Unit cell a=5.717 b=5.717 c=4.125 alpha=90.00 beta=90.00 gamma=90.00
Atoms (fractional coordinates):
Li  0.000  0.000  0.000
P  0.500  0.500  0.000
S  0.500  0.500  0.500
Cl  0.000  0.500  0.500
Cl  0.500  0.000  0.500

Computed properties:
Offset from the most stable computed form   10.668 kcal/mol of atoms
Symmetry   No. 123
Electronic total energy   -2.969 eV/atom
Formation energy (no corrections)   0.06 eV per atom

---

(3)
Here is an optimized crystal structure of Ce2NdPt from Alexandria. Energies are from PBE.

Unit cell a=9.589 b=9.589 c=9.589 alpha=23.33 beta=23.33 gamma=23.33
Atoms (fractional coordinates):
Ce  0.000  0.000  0.000
Ce  0.205  0.205  0.205
Nd  0.435  0.435  0.435
Pt  0.603  0.603  0.603

Computed properties:
Offset from the most stable computed form   3.366 kcal/mol of atoms
DFT formation energy   -0.389 eV/atom
Symmetry   No. 160
Electronic total energy   -6.058 eV/atom

---

(4)
Here is an optimized crystal structure of ScSn2H from Alexandria. Energies are from PBE.

Unit cell a=4.905 b=4.905 c=4.905 alpha=60.00 beta=60.00 gamma=60.00
Atoms (fractional coordinates):
Sc  0.000  0.000  0.000
Sn  0.250  0.250  0.250
Sn  0.750  0.750  0.750
H  0.500  0.500  0.500

Computed properties:
Offset from the most stable computed form   16.349 kcal/mol of atoms
Symmetry   No. 225
Electronic total energy   -4.100 eV/atom